Record 1
# HoNpCdO6 (PBE, optimized geometry)
# **Formation energy without anion corrections**: -2.518 eV per atom
data_HoNpCdO6
_cell_length_a 5.101
_cell_length_b 5.101
_cell_length_c 10.223
_cell_angle_alpha 90.00
_cell_angle_beta 90.00
_cell_angle_gamma 90.00
_symmetry_space_group_name_H-M 'P 42 n m'
_symmetry_Int_Tables_number 102
loop_
_symmetry_equiv_pos_as_xyz
'x,y,z'
'-y+1/2,x+1/2,z+1/2'
'-x,-y,z'
'y+1/2,-x+1/2,z+1/2'
'-x+1/2,y+1/2,z+1/2'
'y,x,z'
'x+1/2,-y+1/2,z+1/2'
'-y,-x,z'
loop_
_atom_site_label
_atom_site_fract_x
_atom_site_fract_y
_atom_site_fract_z
Ho1 0.000 0.000 0.000
Np1 0.000 0.000 0.664
Cd1 0.000 0.000 0.330
O1 0.180 0.180 0.817
O2 0.191 0.191 0.517
O3 0.219 0.219 0.160


Record 2
# TlReBr2 (PBE, optimized geometry)
# **Offset from the most stable computed form**: 0.191 eV per atom
# **Formation energy without anion corrections**: 0.509 eV per atom
data_TlReBr2
_cell_length_a 3.5901
_cell_length_b 3.5901
_cell_length_c 31.0144
_cell_angle_alpha 90.00
_cell_angle_beta 90.00
_cell_angle_gamma 120.00
_symmetry_space_group_name_H-M 'R -3 m'
_symmetry_Int_Tables_number 166
_symmetry_space_group_name_Hall '-R 3 2"'
loop_
_atom_site_label
_atom_site_fract_x
_atom_site_fract_y
_atom_site_fract_z
Tl1 0.0000 0.0000 0.0000
Re1 0.0000 0.0000 0.5000
Br1 0.0000 0.0000 0.1173


Record 3
# LiYBr (PBE, optimized geometry)
# **Offset from the most stable computed form**: 0.178 eV per atom
# **Formation energy without anion corrections**: -0.578 eV per atom
data_LiYBr
_cell_length_a 3.484
_cell_length_b 3.484
_cell_length_c 13.005
_cell_angle_alpha 90.00
_cell_angle_beta 90.00
_cell_angle_gamma 90.00
_symmetry_space_group_name_H-M 'I 4 m m'
_symmetry_Int_Tables_number 107
_symmetry_space_group_name_Hall 'I 4 -2'
loop_
_atom_site_label
_atom_site_fract_x
_atom_site_fract_y
_atom_site_fract_z
Li1 0.000 0.000 0.000
Y1 0.000 0.000 0.688
Br1 0.000 0.000 0.331


Record 4
# Pm2Sm12Th (PBE, optimized geometry)
# **Formation energy**: 169 meV/atom
data_Pm2Sm12Th
_cell_length_a 7.117
_cell_length_b 11.610
_cell_length_c 25.033
_cell_angle_alpha 90.00
_cell_angle_beta 90.00
_cell_angle_gamma 90.00
_symmetry_space_group_name_H-M 'C m m e'
_symmetry_Int_Tables_number 67
_symmetry_space_group_name_Hall '-C 2a 2'
loop_
_atom_site_label
_atom_site_fract_x
_atom_site_fract_y
_atom_site_fract_z
Pm1 0.000 0.250 0.227
Pm2 0.000 0.250 0.766
Sm1 0.000 0.002 0.575
Sm2 0.000 0.023 0.060
Sm3 0.232 0.250 0.916
Sm4 0.249 0.250 0.375
Sm5 0.250 0.000 0.173
Sm6 0.250 0.000 0.301
Th1 0.000 0.250 0.499


Record 5
# Al6Zn2Tc (PBE, optimized geometry)
# **Offset from the most stable computed form**: 0.439 eV per atom
# **Formation energy**: 372 meV/atom
data_Al6Zn2Tc
_cell_length_a 5.349
_cell_length_b 5.349
_cell_length_c 13.292
_cell_angle_alpha 90.00
_cell_angle_beta 90.00
_cell_angle_gamma 90.00
_symmetry_space_group_name_H-M 'P 42/m n m'
_symmetry_Int_Tables_number 136
_symmetry_space_group_name_Hall '-P 4n 2n'
loop_
_atom_site_label
_atom_site_fract_x
_atom_site_fract_y
_atom_site_fract_z
Al1 0.178 0.178 0.000
Al2 0.179 0.179 0.349
Zn1 0.000 0.000 0.178
Tc1 0.000 0.000 0.500


Record 6
# Zn6Mo (PBE, optimized geometry)
# **Offset from the most stable computed form**: 0.000 eV per atom
# **Formation energy**: -35 meV/atom
data_Zn6Mo
_cell_length_a 7.710
_cell_length_b 7.710
_cell_length_c 7.710
_cell_angle_alpha 90.00
_cell_angle_beta 90.00
_cell_angle_gamma 90.00
_symmetry_space_group_name_H-M 'F m -3 m'
_symmetry_Int_Tables_number 225
_symmetry_space_group_name_Hall '-F 4 2 3'
loop_
_atom_site_label
_atom_site_fract_x
_atom_site_fract_y
_atom_site_fract_z
Zn1 0.000 0.250 0.250
Mo1 0.000 0.000 0.000


Record 7
# Sm8RuPt2 (PBE, optimized geometry)
# **Offset from the most stable computed form**: 0.076 eV per atom
# **Formation energy**: -418 meV/atom
data_Sm8RuPt2
_cell_length_a 8.485
_cell_length_b 12.801
_cell_length_c 6.261
_cell_angle_alpha 90.00
_cell_angle_beta 110.81
_cell_angle_gamma 90.00
_symmetry_space_group_name_H-M 'C 1 m 1'
_symmetry_Int_Tables_number 8
loop_
_symmetry_equiv_pos_as_xyz
'x,y,z'
'x,-y,z'
'x+1/2,y+1/2,z'
'x+1/2,-y+1/2,z'
loop_
_atom_site_label
_atom_site_fract_x
_atom_site_fract_y
_atom_site_fract_z
Sm1 0.000 0.000 0.000
Sm2 0.066 0.372 0.807
Sm3 0.144 0.129 0.584
Sm4 0.209 0.500 0.364
Sm5 0.357 0.204 0.184
Ru1 0.352 0.000 0.016
Pt1 0.352 0.314 0.683


Record 8
# CeTh (PBE, optimized geometry)
# **Offset from the most stable computed form**: 0.010 eV per atom
# **Formation energy**: 30 meV/atom
data_CeTh
_cell_length_a 3.4808
_cell_length_b 3.4808
_cell_length_c 16.9192
_cell_angle_alpha 90.00
_cell_angle_beta 90.00
_cell_angle_gamma 120.00
_symmetry_space_group_name_H-M 'R -3 m'
_symmetry_Int_Tables_number 166
_symmetry_space_group_name_Hall '-R 3 2"'
loop_
_atom_site_label
_atom_site_fract_x
_atom_site_fract_y
_atom_site_fract_z
Ce1 0.0000 0.0000 0.0000
Th1 0.0000 0.0000 0.5000


Record 9
# Pu5TiRh6 (PBE, optimized geometry)
# **Formation energy**: -440 meV/atom
data_Pu5TiRh6
_cell_length_a 4.543
_cell_length_b 6.821
_cell_length_c 14.728
_cell_angle_alpha 90.00
_cell_angle_beta 90.00
_cell_angle_gamma 90.00
_symmetry_space_group_name_H-M 'I m m m'
_symmetry_Int_Tables_number 71
_symmetry_space_group_name_Hall '-I 2 2'
loop_
_atom_site_label
_atom_site_fract_x
_atom_site_fract_y
_atom_site_fract_z
Pu1 0.000 0.000 0.000
Pu2 0.000 0.000 0.320
Pu3 0.000 0.500 0.325
Ti1 0.000 0.500 0.000
Rh1 0.000 0.216 0.500
Rh2 0.000 0.269 0.142


Record 10
# Pr3SmSc2 (PBE, optimized geometry)
# **Formation energy**: 256 meV/atom
data_Pr3SmSc2
_cell_length_a 14.605
_cell_length_b 9.934
_cell_length_c 5.538
_cell_angle_alpha 90.00
_cell_angle_beta 90.00
_cell_angle_gamma 90.00
_symmetry_space_group_name_H-M 'C m c m'
_symmetry_Int_Tables_number 63
_symmetry_space_group_name_Hall '-C 2c 2'
loop_
_atom_site_label
_atom_site_fract_x
_atom_site_fract_y
_atom_site_fract_z
Pr1 0.000 0.098 0.250
Pr2 0.241 0.133 0.250
Sm1 0.000 0.273 0.750
Sc1 0.103 0.410 0.250


Record 11
# Tm6In2Sn (PBE, optimized geometry)
# **Formation energy**: -283 meV/atom
data_Tm6In2Sn
_cell_length_a 5.917
_cell_length_b 8.999
_cell_length_c 10.888
_cell_angle_alpha 90.00
_cell_angle_beta 118.30
_cell_angle_gamma 90.00
_symmetry_space_group_name_H-M 'P 1 21/c 1'
_symmetry_Int_Tables_number 14
loop_
_symmetry_equiv_pos_as_xyz
'x,y,z'
'-x,-y,-z'
'-x,y+1/2,-z+1/2'
'x,-y+1/2,z+1/2'
loop_
_atom_site_label
_atom_site_fract_x
_atom_site_fract_y
_atom_site_fract_z
Tm1 0.024 0.168 0.437
Tm2 0.376 0.678 0.435
Tm3 0.404 0.027 0.310
In1 0.175 0.129 0.753
Sn1 0.000 0.000 0.000


Record 12
# ErPuGe (PBE, optimized geometry)
# **Offset from the most stable computed form**: 0.325 eV per atom
# **Formation energy**: -226 meV/atom
data_ErPuGe
_cell_length_a 4.8647
_cell_length_b 4.8647
_cell_length_c 3.6154
_cell_angle_alpha 90.00
_cell_angle_beta 90.00
_cell_angle_gamma 120.00
_symmetry_space_group_name_H-M 'P 3 m 1'
_symmetry_Int_Tables_number 156
loop_
_symmetry_equiv_pos_as_xyz
'x,y,z'
'-y,x-y,z'
'-x+y,-x,z'
'-y,-x,z'
'-x+y,y,z'
'x,x-y,z'
loop_
_atom_site_label
_atom_site_fract_x
_atom_site_fract_y
_atom_site_fract_z
Er1 0.0000 0.0000 0.0000
Pu1 0.3333 0.6667 0.5500
Ge1 0.6667 0.3333 0.2214


Record 13
# CsScTe2 (PBE, optimized geometry)
# **Formation energy without anion corrections**: -0.916 eV per atom
data_CsScTe2
_cell_length_a 5.453
_cell_length_b 25.627
_cell_length_c 5.696
_cell_angle_alpha 90.00
_cell_angle_beta 90.00
_cell_angle_gamma 90.00
_symmetry_space_group_name_H-M 'C m c m'
_symmetry_Int_Tables_number 63
_symmetry_space_group_name_Hall '-C 2c 2'
loop_
_atom_site_label
_atom_site_fract_x
_atom_site_fract_y
_atom_site_fract_z
Cs1 0.000 0.176 0.250
Sc1 0.000 0.435 0.250
Te1 0.000 0.330 0.250
Te2 0.000 0.451 0.750


Record 14
# AlIr2Se (PBE, optimized geometry)
# **Offset from the most stable computed form**: 0.554 eV per atom
# **Formation energy without anion corrections**: 0.376 eV per atom
data_AlIr2Se
_cell_length_a 6.325
_cell_length_b 6.325
_cell_length_c 6.325
_cell_angle_alpha 90.00
_cell_angle_beta 90.00
_cell_angle_gamma 90.00
_symmetry_space_group_name_H-M 'F -4 3 m'
_symmetry_Int_Tables_number 216
_symmetry_space_group_name_Hall 'F -4 2 3'
loop_
_atom_site_label
_atom_site_fract_x
_atom_site_fract_y
_atom_site_fract_z
Al1 0.000 0.000 0.000
Ir1 0.000 0.000 0.500
Ir2 0.250 0.250 0.250
Se1 0.250 0.250 0.750


Record 15
# Y2HoTm3 (PBE, optimized geometry)
# **Offset from the most stable computed form**: 0.000 eV per atom
# **Formation energy**: 29 meV/atom
data_Y2HoTm3
_cell_length_a 17.260
_cell_length_b 7.045
_cell_length_c 6.095
_cell_angle_alpha 90.00
_cell_angle_beta 90.01
_cell_angle_gamma 90.00
_symmetry_space_group_name_H-M 'C 1 2/c 1'
_symmetry_Int_Tables_number 15
loop_
_symmetry_equiv_pos_as_xyz
'x,y,z'
'-x,-y,-z'
'-x,y,-z+1/2'
'x,-y,z+1/2'
'x+1/2,y+1/2,z'
'-x+1/2,-y+1/2,-z'
'-x+1/2,y+1/2,-z+1/2'
'x+1/2,-y+1/2,z+1/2'
loop_
_atom_site_label
_atom_site_fract_x
_atom_site_fract_y
_atom_site_fract_z
Y1 0.167 0.125 0.084
Ho1 0.000 0.376 0.250
Tm1 0.000 0.126 0.750
Tm2 0.166 0.375 0.582


Record 16
# ZrPRu4 (PBE, optimized geometry)
# **Formation energy**: 212 meV/atom
data_ZrPRu4
_cell_length_a 7.270
_cell_length_b 7.270
_cell_length_c 7.270
_cell_angle_alpha 90.00
_cell_angle_beta 90.00
_cell_angle_gamma 90.00
_symmetry_space_group_name_H-M 'F -4 3 m'
_symmetry_Int_Tables_number 216
_symmetry_space_group_name_Hall 'F -4 2 3'
loop_
_atom_site_label
_atom_site_fract_x
_atom_site_fract_y
_atom_site_fract_z
Zr1 0.000 0.000 0.000
P1 0.250 0.250 0.750
Ru1 0.124 0.124 0.376


Record 17
# Th6ZnC3S2 (PBE, optimized geometry)
# **Formation energy without anion corrections**: -0.827 eV per atom
data_Th6ZnC3S2
_cell_length_a 17.591
_cell_length_b 3.836
_cell_length_c 8.187
_cell_angle_alpha 90.00
_cell_angle_beta 107.64
_cell_angle_gamma 90.00
_symmetry_space_group_name_H-M 'C 1 2/m 1'
_symmetry_Int_Tables_number 12
loop_
_symmetry_equiv_pos_as_xyz
'x,y,z'
'-x,-y,-z'
'-x,y,-z'
'x,-y,z'
'x+1/2,y+1/2,z'
'-x+1/2,-y+1/2,-z'
'-x+1/2,y+1/2,-z'
'x+1/2,-y+1/2,z'
loop_
_atom_site_label
_atom_site_fract_x
_atom_site_fract_y
_atom_site_fract_z
Th1 0.009 0.000 0.221
Th2 0.160 0.500 0.102
Th3 0.177 0.500 0.561
Zn1 0.000 0.500 0.500
C1 0.000 0.500 0.000
C2 0.169 0.000 0.330
S1 0.166 0.000 0.832


Record 18
# TcHg2Pt (PBE, optimized geometry)
# **Offset from the most stable computed form**: 0.275 eV per atom
# **Formation energy**: 479 meV/atom
data_TcHg2Pt
_cell_length_a 4.348
_cell_length_b 4.348
_cell_length_c 7.744
_cell_angle_alpha 90.00
_cell_angle_beta 90.00
_cell_angle_gamma 90.00
_symmetry_space_group_name_H-M 'I 4/m m m'
_symmetry_Int_Tables_number 139
_symmetry_space_group_name_Hall '-I 4 2'
loop_
_atom_site_label
_atom_site_fract_x
_atom_site_fract_y
_atom_site_fract_z
Tc1 0.000 0.000 0.000
Hg1 0.000 0.500 0.250
Pt1 0.000 0.000 0.500


Record 19
# LiNdPt (PBE, optimized geometry)
# **Offset from the most stable computed form**: 0.095 eV per atom
# **Formation energy**: -717 meV/atom
data_LiNdPt
_cell_length_a 4.3266
_cell_length_b 4.3266
_cell_length_c 3.9030
_cell_angle_alpha 90.00
_cell_angle_beta 90.00
_cell_angle_gamma 120.00
_symmetry_space_group_name_H-M 'P -6 m 2'
_symmetry_Int_Tables_number 187
_symmetry_space_group_name_Hall 'P -6 2'
loop_
_atom_site_label
_atom_site_fract_x
_atom_site_fract_y
_atom_site_fract_z
Li1 0.0000 0.0000 0.0000
Nd1 0.6667 0.3333 0.5000
Pt1 0.3333 0.6667 0.0000


Record 20
# Li2Ca5Ni2 (PBE, optimized geometry)
# **Formation energy**: -38 meV/atom
data_Li2Ca5Ni2
_cell_length_a 17.734
_cell_length_b 7.594
_cell_length_c 7.586
_cell_angle_alpha 90.00
_cell_angle_beta 90.00
_cell_angle_gamma 90.00
_symmetry_space_group_name_H-M 'C m c e'
_symmetry_Int_Tables_number 64
_symmetry_space_group_name_Hall '-C 2ac 2'
loop_
_atom_site_label
_atom_site_fract_x
_atom_site_fract_y
_atom_site_fract_z
Li1 0.228 0.000 0.000
Ca1 0.000 0.000 0.000
Ca2 0.113 0.178 0.323
Ni1 0.000 0.110 0.610


| no. | DFT total energy (eV per cell) |
| --- | --- |
| 1 | -141.70 |
| 2 | -48.37 |
| 3 | -23.57 |
| 4 | -284.05 |
| 5 | -64.05 |
| 6 | -74.87 |
| 7 | -127.42 |
| 8 | -39.88 |
| 9 | -257.88 |
| 10 | -120.75 |
| 11 | -77.72 |
| 12 | -24.19 |
| 13 | -68.53 |
| 14 | -93.78 |
| 15 | -122.98 |
| 16 | -199.16 |
| 17 | -183.30 |
| 18 | -30.19 |
| 19 | -14.87 |
| 20 | -102.96 |